AlPtAu2 | PBE | optimized geometry

It has space group Imm2 (No. 44), with a = 3.546 Å, b = 4.353 Å, c = 8.607 Å, α = 90.00°, β = 90.00° and γ = 90.00°. The distinct sites, in fractional coordinates, are Al at (0.000, 0.000, 0.000), Pt at (0.000, 0.500, 0.291), Au at (0.000, 0.000, 0.511) and Au at (0.000, 0.500, 0.733).

The calculation puts the energy at -35.7 eV for the cell shown. The value obtained for the spin magnetization is 0.000 μB/atom. The value obtained for the density is 15.40 g cm⁻³. As for the density of states at the Fermi level: 1.5 states/eV per cell. As for the energy relative to the elements: -0.3792 eV/atom. As for the crystal system: orthorhombic.